Entry 1:
The following is a GGA-PBEsol calculation of an optimized crystal structure of Sr2MnFe, from the Alexandria database.

Geometry as POSCAR:
```
Sr2MnFe
1.0
3.605 0.000 0.000
1.803 3.122 0.000
1.803 1.041 9.574
Fe Mn Sr
1 1 2
Cartesian
3.605 2.081 4.787 Fe
0.000 0.000 0.000 Mn
1.803 1.041 2.527 Sr
5.408 3.122 7.046 Sr
```

DFT formation energy: 439 kJ/mol of formula units
Raw total energy: -4.46 eV per atom
Energy above the lowest structure with this stoichiometry: 0.1896 eV/atom
Space-group type: No. 166
Total magnetic moment: 6.204 μB per formula unit

---

Entry 2:
The following is a GGA-PBEsol calculation of an optimized crystal structure of KBa2Y, from the Alexandria database.

Geometry as POSCAR:
```
KBa2Y
1.0
6.533 0.000 0.000
-3.266 5.661 0.108
0.000 3.666 5.407
Ba K Y
2 1 1
Cartesian
0.000 3.747 1.406 Ba
3.266 5.580 4.110 Ba
3.266 1.833 2.704 K
0.000 0.000 0.000 Y
```

DFT formation energy: 138 kJ/mol of formula units
Raw total energy: -2.71 eV per atom
Energy above the lowest structure with this stoichiometry: 0.0000 eV/atom
Space-group type: No. 225
Total magnetic moment: 0.000 μB per formula unit

---

Entry 3:
The following is a GGA-PBEsol calculation of an optimized crystal structure of La3YTl, from the Alexandria database.

Geometry as POSCAR:
```
La3YTl
1.0
5.671 0.000 0.000
0.000 5.671 0.000
0.000 0.000 5.671
Y Tl La
1 1 3
Cartesian
0.000 0.000 0.000 Y
2.835 2.835 2.835 Tl
0.000 2.835 0.000 La
0.000 0.000 2.835 La
2.835 0.000 0.000 La
```

DFT formation energy: 275 kJ/mol of formula units
Raw total energy: -4.53 eV per atom
Space-group type: No. 221
Total magnetic moment: 0.000 μB per formula unit

---

Entry 4:
The following is a GGA-PBEsol calculation of an optimized crystal structure of ScCoTc2, from the Alexandria database.

Geometry as POSCAR:
```
ScCoTc2
1.0
2.676 0.014 0.000
-0.937 4.851 0.000
-0.870 -2.433 4.344
Co Sc Tc
1 1 2
Cartesian
1.338 0.007 0.000 Co
-0.468 2.425 0.000 Sc
-0.435 -1.216 2.172 Tc
0.435 1.216 2.172 Tc
```

DFT formation energy: 32 kJ/mol of formula units
Raw total energy: -9.13 eV per atom
Energy above the lowest structure with this stoichiometry: 0.1391 eV/atom
Space-group type: No. 12
Total magnetic moment: 1.391 μB per formula unit

---

Entry 5:
The following is a GGA-PBEsol calculation of an optimized crystal structure of Mo2OsBr, from the Alexandria database.

Geometry as POSCAR:
```
Mo2OsBr
1.0
2.873 0.000 0.000
0.000 4.916 -0.036
0.000 -2.189 4.402
Mo Os Br
2 1 1
Cartesian
0.000 2.458 -0.018 Mo
0.000 -1.095 2.201 Mo
1.436 0.000 0.000 Os
1.436 1.363 2.183 Br
```

E_form (uncorrected): 20.9 kcal/mol of atoms
Raw total energy: -8.50 eV per atom
Energy above the lowest structure with this stoichiometry: 0.3397 eV/atom
Space-group type: No. 65
Total magnetic moment: 0.000 μB per formula unit

---

Entry 6:
The following is a GGA-PBEsol calculation of an optimized crystal structure of Rb3Nb2Br9, from the Alexandria database.

Geometry as POSCAR:
```
Rb3Nb2Br9
1.0
-7.123 -2.533 -0.205
4.111 0.243 -6.344
5.775 -16.494 3.112
Rb Nb Br
6 4 18
Cartesian
1.444 -4.124 0.778 Rb
4.332 -12.371 2.334 Rb
2.867 -7.823 -2.950 Rb
2.009 -16.996 0.653 Rb
0.754 -1.789 -4.089 Rb
-0.104 -10.961 -0.486 Rb
4.260 -11.804 -2.199 Nb
-2.372 -4.482 -1.709 Nb
-1.497 -6.980 -1.237 Nb
5.135 -14.303 -1.727 Nb
-4.681 -3.572 -0.965 Br
-1.197 -2.333 -0.865 Br
-2.670 -3.454 -4.068 Br
3.604 -10.108 -0.354 Br
3.960 -16.451 -2.571 Br
5.615 -9.989 -3.457 Br
2.131 -11.228 -3.557 Br
-2.852 -8.795 0.021 Br
-0.841 -8.677 -3.082 Br
5.433 -15.331 0.632 Br
3.411 -4.045 -2.453 Br
2.727 -13.540 -0.886 Br
0.779 -13.655 2.119 Br
1.984 -5.130 -5.555 Br
0.036 -5.244 -2.550 Br
-0.648 -14.740 -0.983 Br
0.632 -7.556 0.121 Br
7.444 -15.212 -2.471 Br
```

E_form (uncorrected): -29.1 kcal/mol of atoms
Raw total energy: -4.23 eV per atom
Space-group type: No. 194
Total magnetic moment: 1.988 μB per formula unit

---

Entry 7:
The following is a GGA-PBEsol calculation of an optimized crystal structure of YIn2Rh, from the Alexandria database.

Geometry as POSCAR:
```
YIn2Rh
1.0
-2.987 0.870 0.841
-0.190 -2.546 1.967
1.621 3.912 7.839
In Rh Y
2 1 1
Cartesian
-2.524 -1.281 2.383 In
-1.970 1.058 8.104 In
-0.982 1.006 5.492 Rh
-0.034 0.894 2.798 Y
```

DFT formation energy: -150 kJ/mol of formula units
Raw total energy: -5.62 eV per atom
Space-group type: No. 8
Total magnetic moment: 0.000 μB per formula unit

---

Entry 8:
The following is a GGA-PBEsol calculation of an optimized crystal structure of Sc2SiP, from the Alexandria database.

Geometry as POSCAR:
```
Sc2SiP
1.0
-0.896 -3.640 -0.329
2.131 -0.245 -3.092
4.191 -1.302 2.992
P Sc Si
1 2 1
Cartesian
2.713 -2.594 -0.214 P
2.096 -0.651 1.496 Sc
0.617 -1.943 -1.710 Sc
0.000 0.000 0.000 Si
```

E_form (uncorrected): -21.8 kcal/mol of atoms
Raw total energy: -7.13 eV per atom
Energy above the lowest structure with this stoichiometry: 0.0000 eV/atom
Space-group type: No. 123
Total magnetic moment: 0.000 μB per formula unit

---

Entry 9:
The following is a GGA-PBEsol calculation of an optimized crystal structure of KHf2Al2, from the Alexandria database.

Geometry as POSCAR:
```
KHf2Al2
1.0
2.884 0.000 0.000
0.000 8.868 0.000
0.000 0.000 8.868
K Hf Al
2 4 4
Cartesian
0.000 0.000 0.000 K
0.000 4.434 4.434 K
1.442 1.115 5.550 Hf
1.442 5.550 7.753 Hf
1.442 7.753 3.319 Hf
1.442 3.319 1.115 Hf
0.000 2.973 7.407 Al
0.000 7.407 5.896 Al
0.000 5.896 1.461 Al
0.000 1.461 2.973 Al
```

DFT formation energy: 72 kJ/mol of formula units
Raw total energy: -5.92 eV per atom
Space-group type: No. 127
Total magnetic moment: 0.000 μB per formula unit

---

Entry 10:
The following is a GGA-PBEsol calculation of an optimized crystal structure of CaTaTc2, from the Alexandria database.

Geometry as POSCAR:
```
CaTaTc2
1.0
2.886 0.000 0.010
0.000 4.198 0.000
-0.945 0.000 6.034
Ca Tc Ta
1 2 1
Cartesian
1.443 2.099 0.005 Ca
1.556 0.000 4.189 Tc
0.385 0.000 1.855 Tc
-0.473 2.099 3.017 Ta
```

DFT formation energy: 145 kJ/mol of formula units
Raw total energy: -8.93 eV per atom
Energy above the lowest structure with this stoichiometry: 0.0000 eV/atom
Space-group type: No. 10
Total magnetic moment: 0.000 μB per formula unit

---

Entry 11:
The following is a GGA-PBEsol calculation of an optimized crystal structure of Tl2AgP, from the Alexandria database.

Geometry as POSCAR:
```
Tl2AgP
1.0
4.249 0.000 0.000
-2.124 3.709 -0.014
0.000 -2.431 6.394
P Tl Ag
1 2 1
Cartesian
2.124 1.242 2.351 P
0.000 0.011 0.431 Tl
0.000 0.030 4.349 Tl
0.000 2.490 2.432 Ag
```

DFT formation energy: 30 kJ/mol of formula units
Raw total energy: -3.51 eV per atom
Energy above the lowest structure with this stoichiometry: 0.0000 eV/atom
Space-group type: No. 8
Total magnetic moment: 0.000 μB per formula unit

---

Entry 12:
The following is a GGA-PBEsol calculation of an optimized crystal structure of AgPCS2, from the Alexandria database.

Geometry as POSCAR:
```
AgPCS2
1.0
-3.775 -2.655 -0.765
2.784 -3.579 -1.313
0.160 -1.515 4.468
P S C Ag
1 2 1 1
Cartesian
-1.888 -1.328 -0.383 P
0.080 -0.757 2.234 S
1.392 -1.790 -0.656 S
-0.416 -3.875 1.195 C
0.000 0.000 0.000 Ag
```

E_form (uncorrected): 53.9 kcal/mol of atoms
Raw total energy: -3.17 eV per atom
Space-group type: No. 123
Total magnetic moment: 0.072 μB per formula unit

---

Entry 13:
The following is a GGA-PBEsol calculation of an optimized crystal structure of Sc3NbBr, from the Alexandria database.

Geometry as POSCAR:
```
Sc3NbBr
1.0
5.127 0.000 0.000
0.000 5.127 0.000
0.000 0.000 5.127
Sc Nb Br
3 1 1
Cartesian
0.000 2.563 0.000 Sc
0.000 0.000 2.563 Sc
2.563 0.000 0.000 Sc
0.000 0.000 0.000 Nb
2.563 2.563 2.563 Br
```

E_form (uncorrected): 12.4 kcal/mol of atoms
Raw total energy: -5.96 eV per atom
Space-group type: No. 221
Total magnetic moment: 0.000 μB per formula unit

---

Entry 14:
The following is a GGA-PBEsol calculation of an optimized crystal structure of OsRh2, from the Alexandria database.

Geometry as POSCAR:
```
OsRh2
1.0
2.680 0.000 0.000
0.000 2.680 0.000
-1.340 -1.340 5.687
Os Rh
1 2
Cartesian
0.000 0.000 0.000 Os
0.000 0.000 3.838 Rh
1.340 1.340 1.850 Rh
```

DFT formation energy: 3 kJ/mol of formula units
Raw total energy: -9.49 eV per atom
Energy above the lowest structure with this stoichiometry: 0.0042 eV/atom
Space-group type: No. 139
Total magnetic moment: 0.000 μB per formula unit

---

Entry 15:
The following is a GGA-PBEsol calculation of an optimized crystal structure of KAu2Cl, from the Alexandria database.

Geometry as POSCAR:
```
KAu2Cl
1.0
-2.035 -1.511 3.319
-2.319 -4.832 -0.994
2.581 -4.221 2.288
K Au Cl
1 2 1
Cartesian
-0.420 -2.718 1.132 K
0.128 -8.613 1.412 Au
-1.328 -7.928 3.458 Au
-0.777 -5.641 2.210 Cl
```

E_form (uncorrected): -5.1 kcal/mol of atoms
Raw total energy: -2.97 eV per atom
Energy above the lowest structure with this stoichiometry: 0.2805 eV/atom
Space-group type: No. 44
Total magnetic moment: 0.000 μB per formula unit

---

Entry 16:
The following is a GGA-PBEsol calculation of an optimized crystal structure of TaAg3O, from the Alexandria database.

Geometry as POSCAR:
```
TaAg3O
1.0
-0.161 -2.293 -3.682
2.751 -2.903 1.688
-3.354 -2.270 1.561
O Ag Ta
1 3 1
Cartesian
0.000 0.000 0.000 O
1.375 -1.452 0.844 Ag
-1.677 -1.135 0.781 Ag
-0.081 -1.147 -1.841 Ag
-0.382 -3.733 -0.217 Ta
```

E_form (uncorrected): 18.9 kcal/mol of atoms
Raw total energy: -4.73 eV per atom
Space-group type: No. 221
Total magnetic moment: 2.276 μB per formula unit

---

Entry 17:
The following is a GGA-PBEsol calculation of an optimized crystal structure of HfAlCrAs2, from the Alexandria database.

Geometry as POSCAR:
```
HfAlCrAs2
1.0
4.488 0.000 0.000
0.000 4.488 0.000
0.000 0.000 4.902
Cr As Hf Al
1 2 1 1
Cartesian
0.000 0.000 0.000 Cr
0.000 2.244 0.000 As
2.244 0.000 0.000 As
0.000 0.000 2.451 Hf
2.244 2.244 2.451 Al
```

DFT formation energy: 182 kJ/mol of formula units
Raw total energy: -6.63 eV per atom
Space-group type: No. 123
Total magnetic moment: 0.001 μB per formula unit

---

Entry 18:
The following is a GGA-PBEsol calculation of an optimized crystal structure of ReSiSe2, from the Alexandria database.

Geometry as POSCAR:
```
ReSiSe2
1.0
-0.162 1.600 -2.546
-4.420 -1.150 -0.442
-1.207 3.713 2.410
Re Se Si
1 2 1
Cartesian
-0.081 0.800 -1.273 Re
-0.603 1.857 1.205 Se
-2.210 -0.575 -0.221 Se
-2.894 2.082 -0.289 Si
```

E_form (uncorrected): 14.5 kcal/mol of atoms
Raw total energy: -6.06 eV per atom
Space-group type: No. 123
Total magnetic moment: 0.000 μB per formula unit

---

Entry 19:
The following is a GGA-PBEsol calculation of an optimized crystal structure of ZnCuAu2, from the Alexandria database.

Geometry as POSCAR:
```
ZnCuAu2
1.0
3.055 0.000 0.000
0.000 3.397 0.000
0.000 0.000 5.684
Zn Au Cu
1 2 1
Cartesian
1.527 1.698 2.842 Zn
0.000 0.000 4.278 Au
0.000 0.000 1.405 Au
1.527 1.698 0.000 Cu
```

DFT formation energy: -55 kJ/mol of formula units
Raw total energy: -3.58 eV per atom
Space-group type: No. 47
Total magnetic moment: 0.000 μB per formula unit

---

Entry 20:
The following is a GGA-PBEsol calculation of an optimized crystal structure of RhAu, from the Alexandria database.

Geometry as POSCAR:
```
RhAu
1.0
-2.522 -0.934 -0.652
1.075 -1.427 -2.114
1.083 -6.258 4.777
Rh Au
2 2
Cartesian
-0.836 -2.926 1.551 Rh
1.195 -4.512 1.843 Rh
-0.326 -5.870 3.798 Au
0.686 -1.569 -0.404 Au
```

DFT formation energy: 18 kJ/mol of formula units
Raw total energy: -5.94 eV per atom
Space-group type: No. 129
Total magnetic moment: 0.000 μB per formula unit